# 1
Material: La6Sn2Te3I
Method: DFT, PBE
State: relaxed

POSCAR file:
```
La6Sn2Te3I
1.0
-2.559 2.787 -2.656
0.242 -6.253 -6.795
-6.939 -3.992 6.520
Sn La Te I
2 6 3 1
Direct
0.166 0.330 0.331 Sn
0.834 0.670 0.669 Sn
0.672 0.094 0.344 La
0.996 0.734 0.991 La
0.328 0.906 0.656 La
0.004 0.266 0.009 La
0.331 0.422 0.662 La
0.669 0.578 0.338 La
0.837 0.166 0.674 Te
0.163 0.834 0.326 Te
0.500 0.500 0.000 Te
0.500 0.000 0.000 I
```

Values from the calculation:
Total moment ... 0.000 μB/f.u.
Raw formation energy ... -1.266 eV per atom

# 2
Material: CaLaTl2
Method: DFT, PBE
State: relaxed

POSCAR file:
```
CaLaTl2
1.0
-0.553 4.871 -2.672
-3.364 0.707 1.986
2.912 2.541 4.029
Tl La Ca
2 1 1
Direct
0.000 0.125 0.874 Tl
0.500 0.125 0.375 Tl
0.500 0.625 0.875 La
0.000 0.625 0.375 Ca
```

Values from the calculation:
Total moment ... 0.000 μB/f.u.
Formation enthalpy at 0 K ... -0.43 eV per atom

For each record above, in turn, the calculated Fermi-level density of states values are 0.509, 0.708 states/eV per atom.